Entry 1:
## Tl2ZnSb (GGA-PBE)

Data for crystalline Tl2ZnSb at its relaxed geometry.

a = 6.358 Å, b = 6.358 Å, c = 6.358 Å
α = 147.88°, β = 127.84°, γ = 62.59°
Sites, in units of the cell vectors:
1 Tl 0.225 0.225 0.000
2 Tl 0.775 0.775 0.000
3 Zn 0.000 0.500 0.500
4 Sb 0.500 0.000 0.500

Energy relative to the lowest polymorph listed for this composition   142 meV/atom
VASP energy   -2.3668 eV per atom
Raw formation energy   165.4 meV/atom



Entry 2:
## AsBrF2 (GGA-PBE)

Data for crystalline AsBrF2 at its relaxed geometry.

a = 7.482 Å, b = 7.482 Å, c = 7.482 Å
α = 142.80°, β = 142.80°, γ = 53.62°
Sites, in units of the cell vectors:
1 As 0.375 0.625 0.750
2 As 0.625 0.375 0.250
3 Br 0.125 0.875 0.250
4 Br 0.875 0.125 0.750
5 F 0.000 0.500 0.500
6 F 0.500 0.000 0.000
7 F 0.500 0.500 0.000
8 F 0.500 0.500 0.500

Energy relative to the lowest polymorph listed for this composition   658 meV/atom
VASP energy   -3.4086 eV per atom
Raw formation energy   -892.4 meV/atom



Entry 3:
## Ca6Al2Tl (GGA-PBE)

Data for crystalline Ca6Al2Tl at its relaxed geometry.

a = 9.123 Å, b = 9.123 Å, c = 9.123 Å
α = 112.00°, β = 110.71°, γ = 105.76°
Sites, in units of the cell vectors:
1 Ca 0.038 0.829 0.208
2 Ca 0.250 0.552 0.302
3 Ca 0.250 0.948 0.698
4 Ca 0.271 0.319 0.590
5 Ca 0.271 0.681 0.952
6 Ca 0.379 0.171 0.208
7 Ca 0.621 0.829 0.792
8 Ca 0.729 0.319 0.048
9 Ca 0.729 0.681 0.410
10 Ca 0.750 0.052 0.302
11 Ca 0.750 0.448 0.698
12 Ca 0.962 0.171 0.792
13 Al 0.000 0.142 0.142
14 Al 0.000 0.858 0.858
15 Al 0.381 0.381 0.000
16 Al 0.619 0.619 0.000
17 Tl 0.000 0.500 0.500
18 Tl 0.500 0.000 0.500

Energy relative to the elements   -205.7 meV/atom
VASP energy   -2.6347 eV per atom



Entry 4:
## LiTiAu4 (GGA-PBE)

Data for crystalline LiTiAu4 at its relaxed geometry.

a = 5.001 Å, b = 5.001 Å, c = 6.865 Å
α = 109.49°, β = 109.49°, γ = 39.50°
Sites, in units of the cell vectors:
1 Li 0.000 0.000 0.000
2 Ti 0.000 0.000 0.500
3 Au 0.339 0.339 0.671
4 Au 0.343 0.343 0.170
5 Au 0.657 0.657 0.830
6 Au 0.661 0.661 0.329

Energy relative to the lowest polymorph listed for this composition   0 meV/atom
Energy relative to the elements   -399.8 meV/atom
VASP energy   -4.2195 eV per atom



Entry 5:
## CsSbH2Cl8 (GGA-PBE)

Data for crystalline CsSbH2Cl8 at its relaxed geometry.

a = 6.797 Å, b = 7.028 Å, c = 8.216 Å
α = 74.91°, β = 81.77°, γ = 82.79°
Sites, in units of the cell vectors:
1 Cs 0.000 0.000 0.000
2 Sb 0.000 0.500 0.500
3 H 0.375 0.202 0.268
4 H 0.625 0.798 0.732
5 Cl 0.096 0.527 0.764
6 Cl 0.208 0.187 0.528
7 Cl 0.277 0.676 0.346
8 Cl 0.447 0.202 0.112
9 Cl 0.553 0.798 0.888
10 Cl 0.723 0.324 0.654
11 Cl 0.792 0.813 0.472
12 Cl 0.904 0.473 0.236

VASP energy   -3.0964 eV per atom



Entry 6:
## La2PrY6Ho3 (GGA-PBE)

Data for crystalline La2PrY6Ho3 at its relaxed geometry.

a = 6.247 Å, b = 6.247 Å, c = 11.892 Å
α = 95.02°, β = 95.02°, γ = 120.00°
Sites, in units of the cell vectors:
1 La 0.167 0.833 0.000
2 La 0.833 0.167 0.000
3 Pr 0.500 0.500 0.000
4 Y 0.081 0.414 0.744
5 Y 0.253 0.253 0.256
6 Y 0.414 0.081 0.744
7 Y 0.586 0.919 0.256
8 Y 0.747 0.747 0.744
9 Y 0.919 0.586 0.256
10 Ho 0.000 0.000 0.500
11 Ho 0.333 0.667 0.500
12 Ho 0.667 0.333 0.500

Energy relative to the elements   21.9 meV/atom
VASP energy   -5.5741 eV per atom



Entry 7:
## Ce2MgZr (GGA-PBE)

Data for crystalline Ce2MgZr at its relaxed geometry.

a = 12.359 Å, b = 12.359 Å, c = 12.359 Å
α = 14.56°, β = 14.56°, γ = 14.56°
Sites, in units of the cell vectors:
1 Ce 0.090 0.090 0.090
2 Ce 0.910 0.910 0.910
3 Mg 0.000 0.000 0.000
4 Zr 0.500 0.500 0.500

Energy relative to the lowest polymorph listed for this composition   139 meV/atom
Energy relative to the elements   194.7 meV/atom
VASP energy   -5.3079 eV per atom



Entry 8:
## Ta3CrCo (GGA-PBE)

Data for crystalline Ta3CrCo at its relaxed geometry.

a = 4.529 Å, b = 4.529 Å, c = 4.529 Å
α = 90.00°, β = 90.00°, γ = 90.00°
Sites, in units of the cell vectors:
1 Ta 0.000 0.000 0.500
2 Ta 0.000 0.500 0.000
3 Ta 0.500 0.000 0.000
4 Cr 0.500 0.500 0.500
5 Co 0.000 0.000 0.000

Energy relative to the lowest polymorph listed for this composition   0 meV/atom
Energy relative to the elements   1094.8 meV/atom
VASP energy   -9.3626 eV per atom



Entry 9:
## PuTeH2 (GGA-PBE)

Data for crystalline PuTeH2 at its relaxed geometry.

a = 5.256 Å, b = 5.256 Å, c = 5.256 Å
α = 41.94°, β = 41.94°, γ = 41.94°
Sites, in units of the cell vectors:
1 Pu 0.000 0.000 0.000
2 Te 0.500 0.500 0.500
3 H 0.304 0.304 0.304
4 H 0.696 0.696 0.696

Energy relative to the lowest polymorph listed for this composition   0 meV/atom
VASP energy   -6.5275 eV per atom



Entry 10:
## PrSn4Ir2 (GGA-PBE)

Data for crystalline PrSn4Ir2 at its relaxed geometry.

a = 18.617 Å, b = 4.532 Å, c = 7.287 Å
α = 90.00°, β = 90.00°, γ = 90.00°
Sites, in units of the cell vectors:
1 Pr 0.142 0.250 0.004
2 Pr 0.358 0.750 0.504
3 Pr 0.642 0.250 0.496
4 Pr 0.858 0.750 0.996
5 Sn 0.032 0.750 0.867
6 Sn 0.067 0.250 0.478
7 Sn 0.182 0.750 0.304
8 Sn 0.194 0.750 0.724
9 Sn 0.306 0.250 0.224
10 Sn 0.318 0.250 0.804
11 Sn 0.433 0.750 0.978
12 Sn 0.468 0.250 0.367
13 Sn 0.532 0.750 0.633
14 Sn 0.567 0.250 0.022
15 Sn 0.682 0.750 0.196
16 Sn 0.694 0.750 0.776
17 Sn 0.806 0.250 0.276
18 Sn 0.818 0.250 0.696
19 Sn 0.933 0.750 0.522
20 Sn 0.968 0.250 0.133
21 Ir 0.035 0.750 0.252
22 Ir 0.214 0.250 0.518
23 Ir 0.286 0.750 0.018
24 Ir 0.465 0.250 0.752
25 Ir 0.535 0.750 0.248
26 Ir 0.714 0.250 0.982
27 Ir 0.786 0.750 0.482
28 Ir 0.965 0.250 0.748

Energy relative to the lowest polymorph listed for this composition   0 meV/atom
Energy relative to the elements   -539.6 meV/atom
VASP energy   -6.0414 eV per atom



Entry 11:
## LaScFe (GGA-PBE)

Data for crystalline LaScFe at its relaxed geometry.

a = 4.621 Å, b = 4.621 Å, c = 4.621 Å
α = 60.00°, β = 60.00°, γ = 60.00°
Sites, in units of the cell vectors:
1 La 0.000 0.000 0.000
2 Sc 0.500 0.500 0.500
3 Fe 0.750 0.750 0.750

Energy relative to the lowest polymorph listed for this composition   200 meV/atom
Energy relative to the elements   202.5 meV/atom
VASP energy   -6.3714 eV per atom



Entry 12:
## Ir4W (GGA-PBE)

Data for crystalline Ir4W at its relaxed geometry.

a = 4.962 Å, b = 4.962 Å, c = 4.962 Å
α = 109.47°, β = 109.47°, γ = 109.47°
Sites, in units of the cell vectors:
1 Ir 0.000 0.000 0.500
2 Ir 0.000 0.500 0.000
3 Ir 0.500 0.000 0.000
4 Ir 0.500 0.500 0.500
5 W 0.000 0.000 0.000

Energy relative to the elements   1017.3 meV/atom
VASP energy   -8.6621 eV per atom